The following is a GGA-PBE calculation of an optimized crystal structure of Ce6MnCoBi2, from Alexandria via LeMat-Bulk.

Calculated values
The calculation puts the formation enthalpy at 0 K at -3.57 eV/f.u. The value obtained for the magnetization is 4.397 μB per cell. Its space group is P4/mmm. Its total energy is -63.2 eV/cell.

Cell: 5.157 5.157 10.124 Å, 90.00 90.00 90.00°
Site moments in Bohr magnetons follow the coordinates.
Sites, in units of the cell vectors:
Ce1 0.000 0.500 0.000  0.68
Ce2 0.500 0.000 0.500  0.60
Ce3 0.000 0.500 0.500  0.60
Ce4 0.500 0.500 0.256  0.58
Ce5 0.500 0.000 0.000  0.68
Ce6 0.500 0.500 0.744  0.58
Co1 0.500 0.500 0.000  -0.09
Bi1 0.000 0.000 0.249  -0.03
Bi2 0.000 0.000 0.751  -0.03
Mn1 0.500 0.500 0.500  -0.17